VASP calculation (meta-GGA SCAN) on a crystal of CoRe2 relaxed with PBEsol.

Cell lengths 11.4704, 11.4704, 11.4704 Å; angles 161.17, 161.17, 26.75 degrees
With the nearest neighbours (Å) after each atom.
Atoms (fractional coordinates):
Co 0.2907 0.5407 0.7500  10 Re 2.59-2.68, 2 Co 2.61
Co 0.4593 0.7093 0.7500  10 Re 2.59-2.68, 2 Co 2.61
Co 0.5407 0.2907 0.2500  10 Re 2.59-2.68, 2 Co 2.61
Co 0.7093 0.4593 0.2500  10 Re 2.59-2.68, 2 Co 2.61
Re 0.0392 0.7892 0.2500  6 Re 2.57-2.70, 6 Co 2.59-2.65
Re 0.1263 0.3763 0.7500  4 Co 2.64-2.68, 8 Re 2.65-2.70
Re 0.2108 0.9608 0.2500  6 Re 2.57-2.70, 6 Co 2.59-2.65
Re 0.3763 0.1263 0.2500  4 Co 2.64-2.68, 8 Re 2.65-2.70
Re 0.6237 0.8737 0.7500  4 Co 2.64-2.68, 8 Re 2.65-2.70
Re 0.7892 0.0392 0.7500  6 Re 2.57-2.70, 6 Co 2.59-2.65
Re 0.8737 0.6237 0.2500  4 Co 2.64-2.68, 8 Re 2.65-2.70
Re 0.9608 0.2108 0.7500  6 Re 2.57-2.70, 6 Co 2.59-2.65

Summary:
* crystal system: tetragonal
* E above lowest polymorph: 64 meV per atom
* symmetry: I4_1/amd, No. 141
* energy of formation from the pure elements: 31 kJ/mol of formula units


VASP calculation (meta-GGA SCAN) on a crystal of Co3Re relaxed with PBEsol.

Cell lengths 2.5548, 4.0177, 4.3691 Å; angles 90.00, 90.00, 90.00 degrees
With the nearest neighbours (Å) after each atom.
Atoms (fractional coordinates):
Co 0.0000 0.0000 0.0000  8 Co 2.46-2.60, 4 Re 2.51
Co 0.0000 0.5000 0.3245  8 Co 2.46-2.55, 4 Re 2.51-2.55
Co 0.5000 0.0000 0.4815  10 Co 2.46-2.60, 2 Re 2.50
Re 0.5000 0.5000 0.8203  10 Co 2.50-2.55, 2 Re 2.55

Summary:
* crystal system: orthorhombic
* symmetry: Pmm2, No. 25
* energy of formation from the pure elements: 69 kJ/mol of formula units